An optimized crystal structure of AgTeSN2, computed with PBE.

Geometry as CIF:
```
data_AgTeSN2
_cell_length_a 4.033
_cell_length_b 4.033
_cell_length_c 6.389
_cell_angle_alpha 90.00
_cell_angle_beta 90.00
_cell_angle_gamma 90.00
_symmetry_space_group_name_H-M 'P 4/m m m'
_symmetry_Int_Tables_number 123
_symmetry_space_group_name_Hall '-P 4 2'
loop_
_atom_site_label
_atom_site_fract_x
_atom_site_fract_y
_atom_site_fract_z
_atom_site_occupancy
Ag1 0.000 0.000 0.000 1
Te1 0.500 0.500 0.500 1
S1 0.000 0.000 0.500 1
N1 0.000 0.500 0.000 1
```

Formation energy without anion corrections in meV/atom: 1779
Polymorph energy (0 for the lowest one) in eV per atom: 0.430
E in eV for the cell shown: -17.878



An optimized crystal structure of AgTeSN2, computed with PBE.

Geometry as CIF:
```
data_AgTeSN2
_cell_length_a 3.694
_cell_length_b 3.694
_cell_length_c 6.909
_cell_angle_alpha 90.00
_cell_angle_beta 90.00
_cell_angle_gamma 90.00
_symmetry_space_group_name_H-M 'P 4/m m m'
_symmetry_Int_Tables_number 123
_symmetry_space_group_name_Hall '-P 4 2'
loop_
_atom_site_label
_atom_site_fract_x
_atom_site_fract_y
_atom_site_fract_z
_atom_site_occupancy
Ag1 0.000 0.000 0.000 1
Te1 0.500 0.500 0.000 1
S1 0.500 0.500 0.500 1
N1 0.000 0.500 0.500 1
```

Formation energy without anion corrections in meV/atom: 1576
Polymorph energy (0 for the lowest one) in eV per atom: 0.227
E in eV for the cell shown: -18.891



An optimized crystal structure of AgTeS2N, computed with PBE.

Geometry as CIF:
```
data_AgTeS2N
_cell_length_a 5.000
_cell_length_b 5.000
_cell_length_c 4.010
_cell_angle_alpha 90.00
_cell_angle_beta 90.00
_cell_angle_gamma 90.00
_symmetry_space_group_name_H-M 'P 4/m m m'
_symmetry_Int_Tables_number 123
_symmetry_space_group_name_Hall '-P 4 2'
loop_
_atom_site_label
_atom_site_fract_x
_atom_site_fract_y
_atom_site_fract_z
_atom_site_occupancy
Ag1 0.000 0.000 0.000 1
Te1 0.500 0.500 0.500 1
S1 0.000 0.500 0.000 1
N1 0.000 0.000 0.500 1
```

Formation energy without anion corrections in meV/atom: 1211
Polymorph energy (0 for the lowest one) in eV per atom: 0.196
E in eV for the cell shown: -16.519



An optimized crystal structure of AgTeSN2, computed with PBE.

Geometry as CIF:
```
data_AgTeSN2
_cell_length_a 4.013
_cell_length_b 4.013
_cell_length_c 6.859
_cell_angle_alpha 90.00
_cell_angle_beta 90.00
_cell_angle_gamma 90.00
_symmetry_space_group_name_H-M 'P 4/m m m'
_symmetry_Int_Tables_number 123
_symmetry_space_group_name_Hall '-P 4 2'
loop_
_atom_site_label
_atom_site_fract_x
_atom_site_fract_y
_atom_site_fract_z
_atom_site_occupancy
Ag1 0.000 0.000 0.000 1
Te1 0.000 0.000 0.500 1
S1 0.500 0.500 0.500 1
N1 0.000 0.500 0.000 1
```

Formation energy without anion corrections in meV/atom: 1771
Polymorph energy (0 for the lowest one) in eV per atom: 0.422
E in eV for the cell shown: -17.915



An optimized crystal structure of AgTeS2N, computed with PBE.

Geometry as CIF:
```
data_AgTeS2N
_cell_length_a 5.119
_cell_length_b 5.119
_cell_length_c 3.953
_cell_angle_alpha 90.00
_cell_angle_beta 90.00
_cell_angle_gamma 90.00
_symmetry_space_group_name_H-M 'P 4/m m m'
_symmetry_Int_Tables_number 123
_symmetry_space_group_name_Hall '-P 4 2'
loop_
_atom_site_label
_atom_site_fract_x
_atom_site_fract_y
_atom_site_fract_z
_atom_site_occupancy
Ag1 0.000 0.000 0.000 1
Te1 0.500 0.500 0.500 1
S1 0.000 0.500 0.500 1
N1 0.500 0.500 0.000 1
```

Formation energy without anion corrections in meV/atom: 1015
Polymorph energy (0 for the lowest one) in eV per atom: 0.000
E in eV for the cell shown: -17.499



An optimized crystal structure of AgTeSN2, computed with PBE.

Geometry as CIF:
```
data_AgTeSN2
_cell_length_a 3.907
_cell_length_b 3.907
_cell_length_c 5.645
_cell_angle_alpha 90.00
_cell_angle_beta 90.00
_cell_angle_gamma 90.00
_symmetry_space_group_name_H-M 'P 4/m m m'
_symmetry_Int_Tables_number 123
_symmetry_space_group_name_Hall '-P 4 2'
loop_
_atom_site_label
_atom_site_fract_x
_atom_site_fract_y
_atom_site_fract_z
_atom_site_occupancy
Ag1 0.000 0.000 0.000 1
Te1 0.500 0.500 0.500 1
S1 0.500 0.500 0.000 1
N1 0.000 0.500 0.500 1
```

Formation energy without anion corrections in meV/atom: 1349
Polymorph energy (0 for the lowest one) in eV per atom: 0.000
E in eV for the cell shown: -20.027



An optimized crystal structure of ThAgSN, computed with PBE.

Geometry as CIF:
```
data_ThAgSN
_cell_length_a 4.0814
_cell_length_b 4.0814
_cell_length_c 32.1011
_cell_angle_alpha 90.00
_cell_angle_beta 90.00
_cell_angle_gamma 120.00
_symmetry_space_group_name_H-M 'R -3 m'
_symmetry_Int_Tables_number 166
_symmetry_space_group_name_Hall '-R 3 2"'
loop_
_atom_site_label
_atom_site_fract_x
_atom_site_fract_y
_atom_site_fract_z
_atom_site_occupancy
Th1 0.0000 0.0000 0.1214 1
Ag1 0.0000 0.0000 0.3063 1
S1 0.0000 0.0000 0.3941 1
N1 0.0000 0.0000 0.1944 1
```

Formation energy without anion corrections in meV/atom: -1242
E in eV for the cell shown: -166.142



An optimized crystal structure of TiAgS2N, computed with PBE.

Geometry as CIF:
```
data_TiAgS2N
_cell_length_a 4.805
_cell_length_b 4.805
_cell_length_c 3.900
_cell_angle_alpha 90.00
_cell_angle_beta 90.00
_cell_angle_gamma 90.00
_symmetry_space_group_name_H-M 'P 4/m m m'
_symmetry_Int_Tables_number 123
_symmetry_space_group_name_Hall '-P 4 2'
loop_
_atom_site_label
_atom_site_fract_x
_atom_site_fract_y
_atom_site_fract_z
_atom_site_occupancy
Ti1 0.000 0.000 0.000 1
Ag1 0.500 0.500 0.500 1
S1 0.000 0.500 0.500 1
N1 0.500 0.500 0.000 1
```

Formation energy without anion corrections in meV/atom: 1091
Polymorph energy (0 for the lowest one) in eV per atom: 1.089
E in eV for the cell shown: -21.873



An optimized crystal structure of TiAgS2N, computed with PBE.

Geometry as CIF:
```
data_TiAgS2N
_cell_length_a 4.817
_cell_length_b 4.817
_cell_length_c 3.880
_cell_angle_alpha 90.00
_cell_angle_beta 90.00
_cell_angle_gamma 90.00
_symmetry_space_group_name_H-M 'P 4/m m m'
_symmetry_Int_Tables_number 123
_symmetry_space_group_name_Hall '-P 4 2'
loop_
_atom_site_label
_atom_site_fract_x
_atom_site_fract_y
_atom_site_fract_z
_atom_site_occupancy
Ti1 0.000 0.000 0.000 1
Ag1 0.500 0.500 0.500 1
S1 0.000 0.500 0.000 1
N1 0.000 0.000 0.500 1
```

Formation energy without anion corrections in meV/atom: 2
Polymorph energy (0 for the lowest one) in eV per atom: 0.000
E in eV for the cell shown: -27.317



An optimized crystal structure of TlAg2SN, computed with PBE.

Geometry as CIF:
```
data_TlAg2SN
_cell_length_a 5.440
_cell_length_b 5.440
_cell_length_c 3.362
_cell_angle_alpha 90.00
_cell_angle_beta 90.00
_cell_angle_gamma 90.00
_symmetry_space_group_name_H-M 'P 4/m m m'
_symmetry_Int_Tables_number 123
_symmetry_space_group_name_Hall '-P 4 2'
loop_
_atom_site_label
_atom_site_fract_x
_atom_site_fract_y
_atom_site_fract_z
_atom_site_occupancy
Tl1 0.000 0.000 0.000 1
Ag1 0.000 0.500 0.500 1
S1 0.500 0.500 0.500 1
N1 0.500 0.500 0.000 1
```

Formation energy without anion corrections in meV/atom: 753
E in eV for the cell shown: -16.758



An optimized crystal structure of TlAgSN2, computed with PBE.

Geometry as CIF:
```
data_TlAgSN2
_cell_length_a 4.319
_cell_length_b 4.319
_cell_length_c 5.601
_cell_angle_alpha 90.00
_cell_angle_beta 90.00
_cell_angle_gamma 90.00
_symmetry_space_group_name_H-M 'P 4/m m m'
_symmetry_Int_Tables_number 123
_symmetry_space_group_name_Hall '-P 4 2'
loop_
_atom_site_label
_atom_site_fract_x
_atom_site_fract_y
_atom_site_fract_z
_atom_site_occupancy
Tl1 0.000 0.000 0.000 1
Ag1 0.500 0.500 0.500 1
S1 0.000 0.000 0.500 1
N1 0.000 0.500 0.000 1
```

Formation energy without anion corrections in meV/atom: 1836
Polymorph energy (0 for the lowest one) in eV per atom: 0.246
E in eV for the cell shown: -16.816



An optimized crystal structure of TlAgSN2, computed with PBE.

Geometry as CIF:
```
data_TlAgSN2
_cell_length_a 4.219
_cell_length_b 4.219
_cell_length_c 5.319
_cell_angle_alpha 90.00
_cell_angle_beta 90.00
_cell_angle_gamma 90.00
_symmetry_space_group_name_H-M 'P 4/m m m'
_symmetry_Int_Tables_number 123
_symmetry_space_group_name_Hall '-P 4 2'
loop_
_atom_site_label
_atom_site_fract_x
_atom_site_fract_y
_atom_site_fract_z
_atom_site_occupancy
Tl1 0.000 0.000 0.000 1
Ag1 0.500 0.500 0.500 1
S1 0.500 0.500 0.000 1
N1 0.000 0.500 0.500 1
```

Formation energy without anion corrections in meV/atom: 1590
Polymorph energy (0 for the lowest one) in eV per atom: 0.000
E in eV for the cell shown: -18.047